Here is Sb2PN after structural relaxation from the Alexandria database. Energies are from PBE.

Output
Energy relative to the lowest polymorph listed for this composition, kJ/mol of formula units: 163
Formation energy (no corrections), kJ/mol of formula units: 411

Unit cell a=6.5559 b=6.5559 c=6.5559 alpha=90.00 beta=90.00 gamma=90.00
Closest atoms and distances in Å follow each position.
Space group Fm-3m (No. 225)
Unique sites:
Sb 0.2500 0.2500 0.2500 (multiplicity 8)  4 N 2.84, 4 P 2.84
P 0.0000 0.0000 0.0000 (multiplicity 4)  8 Sb 2.84
N 0.0000 0.0000 0.5000 (multiplicity 4)  8 Sb 2.84

=====

Here is La2AlSi after structural relaxation from the Alexandria database. Energies are from PBE.

Output
Formation energy (no corrections), kJ/mol of formula units: -73

Unit cell a=3.4603 b=3.4603 c=8.8332 alpha=90.00 beta=90.00 gamma=90.00
Closest atoms and distances in Å follow each position.
Space group P4mm (No. 99)
Unique sites:
La 0.0000 0.0000 0.0000 (multiplicity 1)  4 Al 3.29, 1 Si 3.32, 4 La 3.46
La 0.5000 0.5000 0.3861 (multiplicity 1)  1 Al 3.23, 4 Si 3.23, 4 La 3.46
Al 0.5000 0.5000 0.7512 (multiplicity 1)  4 Si 2.69
Si 0.0000 0.0000 0.6246 (multiplicity 1)  4 Al 2.69

=====

Here is K3PtPb4 after structural relaxation from the Alexandria database. Energies are from PBE.

Output
Calculated formation energy, eV/atom: -0.229

Unit cell a=6.8814 b=13.1724 c=6.5367 alpha=90.00 beta=90.00 gamma=90.00
Closest atoms and distances in Å follow each position.
Space group Pmmn (No. 59, origin choice 2)
Unique sites:
K 0.2500 0.0013 0.1701 (multiplicity 4)  1 Pt 3.43, 2 Pb 3.57-3.68
K 0.2500 0.7500 0.5354 (multiplicity 2)  2 Pt 3.56, 4 Pb 3.64-3.79
Pt 0.2500 0.2500 0.3270 (multiplicity 2)  4 Pb 2.77-2.84
Pb 0.0053 0.2500 0.9776 (multiplicity 4)  1 Pt 2.84, 2 Pb 3.17
Pb 0.2500 0.1202 0.6609 (multiplicity 4)  1 Pt 2.77